Entry 1:
DFT (GGA-PBE) results for a geometry-optimized Na2TlBr structure.

a b c (Å): 3.6040 3.6040 8.5573
angles (deg): 90.00 90.00 90.00
Fractional coordinates of all 4 atoms:
Br 0.5000 0.5000 0.0000
Na 0.0000 0.0000 0.7891
Tl 0.5000 0.5000 0.5000
Na 0.0000 0.0000 0.2109

Output
SG = P4/mmm, No. 123
Total magnetic moment = 0.00 μB/f.u.
Uncorrected formation energy = -0.707 eV/atom
E = -2.376 eV per atom

Entry 2:
DFT (GGA-PBE) results for a geometry-optimized Na2TlBr structure.

a b c (Å): 3.8513 3.8513 10.2766
angles (deg): 79.20 79.20 60.00
Fractional coordinates of all 4 atoms:
Tl 0.0000 0.0000 0.0000
Na 0.8963 0.8963 0.3111
Na 0.1037 0.1037 0.6889
Br 0.5000 0.5000 0.5000

Output
SG = R-3m, No. 166
Total magnetic moment = 0.00 μB/f.u.
Uncorrected formation energy = -0.620 eV/atom
E = -2.289 eV per atom

Entry 3:
DFT (GGA-PBE) results for a geometry-optimized Na3Tl5Br12 structure.

a b c (Å): 15.9722 15.9722 15.9722
angles (deg): 109.47 109.47 109.47
Fractional coordinates of all 80 atoms:
Br 0.0935 0.1835 0.4569
Br 0.3634 0.4065 0.0900
Br 0.9569 0.5935 0.1835
Br 0.4100 0.2734 0.3165
Tl 0.6250 0.7500 0.8750
Na 0.1250 0.2500 0.8750
Br 0.5431 0.2266 0.1366
Br 0.5431 0.3165 0.9065
Br 0.0431 0.4065 0.8165
Br 0.7734 0.4569 0.3634
Br 0.6835 0.4569 0.5935
Na 0.3750 0.7500 0.6250
Br 0.1366 0.4100 0.0935
Br 0.6366 0.5935 0.9100
Br 0.4569 0.7734 0.8634
Br 0.7266 0.5900 0.1835
Br 0.3165 0.5431 0.4065
Tl 0.0000 0.0000 0.0000
Br 0.3165 0.7734 0.4100
Tl 0.0000 0.5000 0.5000
Br 0.4065 0.0431 0.3165
Tl 0.1250 0.7500 0.3750
Br 0.7734 0.3165 0.9100
Tl 0.8750 0.2500 0.6250
Tl 0.7500 0.1250 0.8750
Br 0.6366 0.0431 0.2266
Br 0.8165 0.9065 0.0431
Tl 0.1250 0.3750 0.2500
Tl 0.3750 0.1250 0.7500
Br 0.2266 0.6835 0.0900
Br 0.8165 0.9100 0.2734
Br 0.2266 0.5431 0.6366
Na 0.8750 0.1250 0.2500
Br 0.3634 0.9569 0.7734
Br 0.0935 0.9100 0.1366
Br 0.0900 0.9065 0.3634
Br 0.5900 0.7266 0.6835
Br 0.4569 0.6835 0.0935
Tl 0.5000 0.5000 0.5000
Na 0.6250 0.2500 0.3750
Tl 0.7500 0.6250 0.3750
Br 0.9100 0.0935 0.6366
Na 0.7500 0.3750 0.1250
Na 0.2500 0.6250 0.8750
Br 0.4065 0.3634 0.5900
Na 0.6250 0.3750 0.7500
Br 0.1835 0.0935 0.9569
Na 0.3750 0.6250 0.2500
Tl 0.2500 0.8750 0.1250
Tl 0.2500 0.3750 0.6250
Tl 0.5000 0.0000 0.5000
Na 0.8750 0.7500 0.1250
Tl 0.5000 0.0000 0.0000
Br 0.4100 0.1366 0.5935
Tl 0.0000 0.5000 0.0000
Br 0.5900 0.8634 0.4065
Tl 0.6250 0.8750 0.2500
Br 0.9569 0.3634 0.2734
Br 0.9065 0.8165 0.5431
Br 0.1366 0.7266 0.5431
Br 0.1835 0.0900 0.7266
Tl 0.0000 0.0000 0.5000
Br 0.0900 0.1835 0.2266
Br 0.0431 0.6366 0.7266
Br 0.8634 0.5900 0.9065
Tl 0.3750 0.2500 0.1250
Br 0.6835 0.2266 0.5900
Br 0.8634 0.2734 0.4569
Na 0.7500 0.8750 0.6250
Br 0.2734 0.4100 0.8165
Tl 0.5000 0.5000 0.0000
Br 0.5935 0.6366 0.4100
Br 0.2734 0.8634 0.9569
Na 0.2500 0.1250 0.3750
Br 0.9065 0.0900 0.8634
Br 0.9100 0.8165 0.7734
Tl 0.8750 0.6250 0.7500
Br 0.7266 0.1366 0.0431
Na 0.1250 0.8750 0.7500
Br 0.5935 0.9569 0.6835

Output
SG = Ia-3d, No. 230
Total magnetic moment = 0.00 μB/f.u.
Uncorrected formation energy = -0.809 eV/atom
E = -2.602 eV per atom

Entry 4:
DFT (GGA-PBE) results for a geometry-optimized Na2TlBr4 structure.

a b c (Å): 7.1309 7.1309 7.6318
angles (deg): 117.85 117.85 90.00
Fractional coordinates of all 7 atoms:
Br 0.8736 0.3821 0.2557
Na 0.7500 0.2500 0.5000
Na 0.2500 0.7500 0.5000
Br 0.1264 0.1264 0.7443
Br 0.3821 0.8736 0.2557
Br 0.6179 0.6179 0.7443
Tl 0.5000 0.5000 0.0000

Output
SG = I-42m, No. 121
Total magnetic moment = 0.85 μB/f.u.
Uncorrected formation energy = -1.042 eV/atom
E = -2.712 eV per atom

Entry 5:
DFT (GGA-PBE) results for a geometry-optimized NaTlBr5 structure.

a b c (Å): 7.6355 7.6355 11.6512
angles (deg): 66.98 66.98 58.21
Fractional coordinates of all 14 atoms:
Br 0.0893 0.3160 0.8775
Na 0.4796 0.5204 0.7500
Tl 0.0000 0.0000 0.5000
Br 0.9107 0.6840 0.1225
Br 0.5374 0.2872 0.0082
Br 0.0950 0.9050 0.7500
Br 0.4626 0.7128 0.9918
Br 0.7128 0.4626 0.4918
Br 0.6840 0.9107 0.6225
Na 0.5204 0.4796 0.2500
Br 0.2872 0.5374 0.5082
Br 0.9050 0.0950 0.2500
Tl 0.0000 0.0000 0.0000
Br 0.3160 0.0893 0.3775

Output
SG = C2/c, No. 15
Total magnetic moment = 1.02 μB/f.u.
Uncorrected formation energy = -0.557 eV/atom
E = -2.279 eV per atom

Entry 6:
DFT (GGA-PBE) results for a geometry-optimized NaTl2Br6 structure.

a b c (Å): 4.7663 7.4073 10.9580
angles (deg): 90.86 90.00 108.77
Fractional coordinates of all 9 atoms:
Tl 0.2708 0.5416 0.7594
Br 0.1716 0.3433 0.1269
Tl 0.7292 0.4584 0.2406
Br 0.8284 0.6567 0.8731
Na 0.0000 0.0000 0.5000
Br 0.3668 0.7337 0.5468
Br 0.9185 0.8370 0.2462
Br 0.0815 0.1630 0.7538
Br 0.6332 0.2663 0.4532

Output
SG = C2/m, No. 12
Total magnetic moment = 0.00 μB/f.u.
Uncorrected formation energy = -0.688 eV/atom
E = -2.475 eV per atom

Please write out number 3 again, unchanged.
DFT (GGA-PBE) results for a geometry-optimized Na3Tl5Br12 structure.

a b c (Å): 15.9722 15.9722 15.9722
angles (deg): 109.47 109.47 109.47
Fractional coordinates of all 80 atoms:
Br 0.0935 0.1835 0.4569
Br 0.3634 0.4065 0.0900
Br 0.9569 0.5935 0.1835
Br 0.4100 0.2734 0.3165
Tl 0.6250 0.7500 0.8750
Na 0.1250 0.2500 0.8750
Br 0.5431 0.2266 0.1366
Br 0.5431 0.3165 0.9065
Br 0.0431 0.4065 0.8165
Br 0.7734 0.4569 0.3634
Br 0.6835 0.4569 0.5935
Na 0.3750 0.7500 0.6250
Br 0.1366 0.4100 0.0935
Br 0.6366 0.5935 0.9100
Br 0.4569 0.7734 0.8634
Br 0.7266 0.5900 0.1835
Br 0.3165 0.5431 0.4065
Tl 0.0000 0.0000 0.0000
Br 0.3165 0.7734 0.4100
Tl 0.0000 0.5000 0.5000
Br 0.4065 0.0431 0.3165
Tl 0.1250 0.7500 0.3750
Br 0.7734 0.3165 0.9100
Tl 0.8750 0.2500 0.6250
Tl 0.7500 0.1250 0.8750
Br 0.6366 0.0431 0.2266
Br 0.8165 0.9065 0.0431
Tl 0.1250 0.3750 0.2500
Tl 0.3750 0.1250 0.7500
Br 0.2266 0.6835 0.0900
Br 0.8165 0.9100 0.2734
Br 0.2266 0.5431 0.6366
Na 0.8750 0.1250 0.2500
Br 0.3634 0.9569 0.7734
Br 0.0935 0.9100 0.1366
Br 0.0900 0.9065 0.3634
Br 0.5900 0.7266 0.6835
Br 0.4569 0.6835 0.0935
Tl 0.5000 0.5000 0.5000
Na 0.6250 0.2500 0.3750
Tl 0.7500 0.6250 0.3750
Br 0.9100 0.0935 0.6366
Na 0.7500 0.3750 0.1250
Na 0.2500 0.6250 0.8750
Br 0.4065 0.3634 0.5900
Na 0.6250 0.3750 0.7500
Br 0.1835 0.0935 0.9569
Na 0.3750 0.6250 0.2500
Tl 0.2500 0.8750 0.1250
Tl 0.2500 0.3750 0.6250
Tl 0.5000 0.0000 0.5000
Na 0.8750 0.7500 0.1250
Tl 0.5000 0.0000 0.0000
Br 0.4100 0.1366 0.5935
Tl 0.0000 0.5000 0.0000
Br 0.5900 0.8634 0.4065
Tl 0.6250 0.8750 0.2500
Br 0.9569 0.3634 0.2734
Br 0.9065 0.8165 0.5431
Br 0.1366 0.7266 0.5431
Br 0.1835 0.0900 0.7266
Tl 0.0000 0.0000 0.5000
Br 0.0900 0.1835 0.2266
Br 0.0431 0.6366 0.7266
Br 0.8634 0.5900 0.9065
Tl 0.3750 0.2500 0.1250
Br 0.6835 0.2266 0.5900
Br 0.8634 0.2734 0.4569
Na 0.7500 0.8750 0.6250
Br 0.2734 0.4100 0.8165
Tl 0.5000 0.5000 0.0000
Br 0.5935 0.6366 0.4100
Br 0.2734 0.8634 0.9569
Na 0.2500 0.1250 0.3750
Br 0.9065 0.0900 0.8634
Br 0.9100 0.8165 0.7734
Tl 0.8750 0.6250 0.7500
Br 0.7266 0.1366 0.0431
Na 0.1250 0.8750 0.7500
Br 0.5935 0.9569 0.6835

Output
SG = Ia-3d, No. 230
Total magnetic moment = 0.00 μB/f.u.
Uncorrected formation energy = -0.809 eV/atom
E = -2.602 eV per atom